LaCuIr2: relaxed, PBE.

Summary:
ΔE to the lowest computed polymorph in eV/f.u.: 1.96
Energy of formation from the pure elements in eV per atom: 0.092
E_tot in eV per cell: -26.4
Density in g cm⁻³: 13.48
Density of states at the Fermi level in states/eV/cell: 3.63

Unit cell a=4.6758 b=4.6758 c=4.6758 alpha=60.00 beta=60.00 gamma=60.00
Element x y z (fractional)
La1 0.0000 0.0000 0.0000
Cu1 0.5000 0.5000 0.5000
Ir1 0.2500 0.2500 0.2500
Ir2 0.7500 0.7500 0.7500